# 1
# HfPd3O6

HfPd3O6 after structural relaxation (PBE-GGA, Alexandria via LeMat-Bulk).

```
HfPd3O6
1.0
3.443 -5.010 0.000
3.443 5.010 0.000
0.000 0.000 3.506
Hf Pd O
1 3 6
Direct
0.000 0.000 0.000 Hf
0.000 0.500 0.500 Pd
0.500 0.000 0.500 Pd
0.500 0.500 0.000 Pd
0.132 0.868 0.500 O
0.148 0.399 0.000 O
0.399 0.148 0.000 O
0.601 0.852 0.000 O
0.852 0.601 0.000 O
0.868 0.132 0.500 O
```

The value obtained for the formation energy from raw total energies is -1210 meV/atom. The calculation puts the density of states at the Fermi level at 6.4 states/eV/cell. As for the space-group type: No. 65.


# 2
# TbPr2Ho4Tm2

TbPr2Ho4Tm2 after structural relaxation (PBE-GGA, Alexandria via LeMat-Bulk).

```
TbPr2Ho4Tm2
1.0
5.998 0.000 0.000
2.767 5.997 0.000
2.870 0.340 8.067
Tb Pr Ho Tm
1 2 4 2
Direct
0.000 0.000 0.000 Tb
0.269 0.675 0.658 Pr
0.731 0.325 0.342 Pr
0.259 0.426 0.115 Ho
0.384 0.874 0.237 Ho
0.616 0.126 0.763 Ho
0.741 0.574 0.885 Ho
0.178 0.230 0.555 Tm
0.822 0.770 0.445 Tm
```

The formation energy is 87 meV per atom. The calculation puts the density of states at the Fermi level at 13.5 states/eV/cell. As for the space-group type: No. 2.


# 3
# La3Tb4Dy

La3Tb4Dy after structural relaxation (PBE-GGA, Alexandria via LeMat-Bulk).

```
La3Tb4Dy
1.0
11.668 0.000 0.000
0.000 7.356 0.000
0.000 0.000 6.361
La Tb Dy
6 8 2
Direct
0.000 0.127 0.000 La
0.249 0.875 0.170 La
0.251 0.125 0.670 La
0.500 0.873 0.500 La
0.749 0.125 0.670 La
0.751 0.875 0.170 La
0.000 0.378 0.503 Tb
0.000 0.869 0.503 Tb
0.248 0.622 0.669 Tb
0.252 0.378 0.169 Tb
0.500 0.131 0.003 Tb
0.500 0.622 0.003 Tb
0.748 0.378 0.169 Tb
0.752 0.622 0.669 Tb
0.000 0.622 0.001 Dy
0.500 0.378 0.501 Dy
```

The formation energy is 34 meV per atom. Its polymorph energy (0 for the lowest one) is 0.000 eV/atom. The calculation puts the density of states at the Fermi level at 29.0 states/eV/cell. As for the space-group type: No. 31.


# 4
# CaFeSi2Tc

CaFeSi2Tc after structural relaxation (PBE-GGA, Alexandria via LeMat-Bulk).

```
CaFeSi2Tc
1.0
3.998 0.000 0.000
0.000 3.998 0.000
0.000 0.000 10.442
Ca Fe Si Tc
2 2 4 2
Direct
0.000 0.000 0.000 Ca
0.500 0.500 0.500 Ca
0.000 0.500 0.250 Fe
0.500 0.000 0.750 Fe
0.000 0.000 0.378 Si
0.000 0.000 0.622 Si
0.500 0.500 0.122 Si
0.500 0.500 0.878 Si
0.000 0.500 0.750 Tc
0.500 0.000 0.250 Tc
```

The value obtained for the formation energy from raw total energies is -454 meV/atom. The calculation puts the density of states at the Fermi level at 8.6 states/eV/cell. As for the space-group type: No. 119.


# 5
# K2NbRh

K2NbRh after structural relaxation (PBE-GGA, Alexandria via LeMat-Bulk).

```
K2NbRh
1.0
7.702 0.000 0.000
0.000 7.702 0.000
0.000 0.000 7.702
K Nb Rh
8 4 4
Direct
0.250 0.250 0.250 K
0.250 0.250 0.750 K
0.250 0.750 0.250 K
0.250 0.750 0.750 K
0.750 0.250 0.250 K
0.750 0.250 0.750 K
0.750 0.750 0.250 K
0.750 0.750 0.750 K
0.000 0.000 0.000 Nb
0.000 0.500 0.500 Nb
0.500 0.000 0.500 Nb
0.500 0.500 0.000 Nb
0.000 0.000 0.500 Rh
0.000 0.500 0.000 Rh
0.500 0.000 0.000 Rh
0.500 0.500 0.500 Rh
```

The formation energy is 1635 meV per atom. Its polymorph energy (0 for the lowest one) is 0.605 eV/atom. The calculation puts the density of states at the Fermi level at 19.5 states/eV/cell. As for the space-group type: No. 225.


# 6
# Hf6CoOs2

Hf6CoOs2 after structural relaxation (PBE-GGA, Alexandria via LeMat-Bulk).

```
Hf6CoOs2
1.0
5.420 0.000 0.000
0.000 7.104 0.000
-5.401 0.000 9.082
Hf Co Os
12 2 4
Direct
0.083 0.214 0.438 Hf
0.083 0.286 0.938 Hf
0.293 0.647 0.450 Hf
0.293 0.853 0.950 Hf
0.402 0.060 0.250 Hf
0.402 0.440 0.750 Hf
0.598 0.560 0.250 Hf
0.598 0.940 0.750 Hf
0.707 0.147 0.050 Hf
0.707 0.353 0.550 Hf
0.917 0.714 0.062 Hf
0.917 0.786 0.562 Hf
0.500 0.000 0.500 Co
0.500 0.500 0.000 Co
0.106 0.100 0.720 Os
0.106 0.400 0.220 Os
0.894 0.600 0.780 Os
0.894 0.900 0.280 Os
```

The formation energy is -235 meV per atom. The calculation puts the density of states at the Fermi level at 13.4 states/eV/cell. As for the space-group type: No. 14.


# 7
# Zr5CoAu

Zr5CoAu after structural relaxation (PBE-GGA, Alexandria via LeMat-Bulk).

```
Zr5CoAu
1.0
4.029 -3.568 0.000
4.029 3.568 0.000
-2.896 0.000 10.056
Zr Co Au
10 2 2
Direct
0.006 0.994 0.750 Zr
0.071 0.441 0.129 Zr
0.220 0.525 0.447 Zr
0.441 0.071 0.629 Zr
0.475 0.780 0.053 Zr
0.525 0.220 0.947 Zr
0.559 0.929 0.371 Zr
0.780 0.475 0.553 Zr
0.929 0.559 0.871 Zr
0.994 0.006 0.250 Zr
0.000 0.000 0.000 Co
0.000 0.000 0.500 Co
0.403 0.597 0.750 Au
0.597 0.403 0.250 Au
```

The formation energy is -103 meV per atom. The calculation puts the density of states at the Fermi level at 17.4 states/eV/cell. As for the space-group type: No. 15.


# 8
# P3Pb5O13

P3Pb5O13 after structural relaxation (PBE-GGA, Alexandria via LeMat-Bulk).

```
P3Pb5O13
1.0
9.878 0.000 0.000
-4.939 8.554 0.000
0.000 0.000 7.300
P Pb O
6 10 26
Direct
0.023 0.405 0.250 P
0.382 0.977 0.250 P
0.405 0.382 0.750 P
0.595 0.618 0.250 P
0.618 0.023 0.750 P
0.977 0.595 0.750 P
0.010 0.781 0.250 Pb
0.219 0.229 0.250 Pb
0.229 0.010 0.750 Pb
0.333 0.667 0.502 Pb
0.333 0.667 0.998 Pb
0.667 0.333 0.002 Pb
0.667 0.333 0.498 Pb
0.771 0.990 0.250 Pb
0.781 0.771 0.750 Pb
0.990 0.219 0.750 Pb
0.000 0.000 0.000 O
0.000 0.000 0.500 O
0.083 0.355 0.079 O
0.083 0.355 0.421 O
0.100 0.587 0.250 O
0.158 0.676 0.750 O
0.272 0.917 0.079 O
0.272 0.917 0.421 O
0.324 0.482 0.750 O
0.355 0.272 0.579 O
0.355 0.272 0.921 O
0.413 0.513 0.250 O
0.482 0.158 0.250 O
0.487 0.900 0.250 O
0.513 0.100 0.750 O
0.518 0.842 0.750 O
0.587 0.487 0.750 O
0.645 0.728 0.079 O
0.645 0.728 0.421 O
0.676 0.518 0.250 O
0.728 0.083 0.579 O
0.728 0.083 0.921 O
0.842 0.324 0.250 O
0.900 0.413 0.750 O
0.917 0.645 0.579 O
0.917 0.645 0.921 O
```

The value obtained for the formation energy from raw total energies is -1766 meV/atom. Its polymorph energy (0 for the lowest one) is 0.026 eV/atom. The calculation puts the density of states at the Fermi level at 8.9 states/eV/cell. As for the space-group type: No. 176.


# 9
# Pb2AuI

Pb2AuI after structural relaxation (PBE-GGA, Alexandria via LeMat-Bulk).

```
Pb2AuI
1.0
4.138 0.000 0.000
-2.069 3.583 0.000
0.000 0.000 25.864
Pb Au I
6 3 3
Direct
0.000 0.000 0.000 Pb
0.000 0.000 0.197 Pb
0.333 0.667 0.667 Pb
0.333 0.667 0.864 Pb
0.667 0.333 0.333 Pb
0.667 0.333 0.530 Pb
0.000 0.000 0.599 Au
0.333 0.667 0.265 Au
0.667 0.333 0.932 Au
0.000 0.000 0.429 I
0.333 0.667 0.096 I
0.667 0.333 0.762 I
```

The value obtained for the formation energy from raw total energies is -181 meV/atom. Its polymorph energy (0 for the lowest one) is 0.014 eV/atom. The calculation puts the density of states at the Fermi level at 4.6 states/eV/cell. As for the space-group type: No. 160.


# 10
# Th13Sc3

Th13Sc3 after structural relaxation (PBE-GGA, Alexandria via LeMat-Bulk).

```
Th13Sc3
1.0
7.032 0.000 0.000
0.000 5.819 6.078
0.000 -5.819 6.078
Th Sc
13 3
Direct
0.000 0.000 0.000 Th
0.000 0.427 0.907 Th
0.000 0.493 0.493 Th
0.000 0.907 0.427 Th
0.249 0.247 0.247 Th
0.254 0.158 0.669 Th
0.254 0.669 0.158 Th
0.500 0.416 0.912 Th
0.500 0.499 0.499 Th
0.500 0.912 0.416 Th
0.746 0.158 0.669 Th
0.746 0.669 0.158 Th
0.751 0.247 0.247 Th
0.257 0.752 0.752 Sc
0.500 0.996 0.996 Sc
0.743 0.752 0.752 Sc
```

The formation energy is 63 meV per atom. The calculation puts the density of states at the Fermi level at 23.9 states/eV/cell. As for the space-group type: No. 38.


# 11
# CoNi2Rh

CoNi2Rh after structural relaxation (PBE-GGA, Alexandria via LeMat-Bulk).

```
CoNi2Rh
1.0
2.601 0.000 0.000
-1.301 2.253 0.000
0.000 0.000 24.743
Co Ni Rh
3 6 3
Direct
0.000 0.000 0.000 Co
0.333 0.667 0.667 Co
0.667 0.333 0.333 Co
0.000 0.000 0.254 Ni
0.000 0.000 0.506 Ni
0.333 0.667 0.173 Ni
0.333 0.667 0.920 Ni
0.667 0.333 0.587 Ni
0.667 0.333 0.839 Ni
0.000 0.000 0.752 Rh
0.333 0.667 0.419 Rh
0.667 0.333 0.086 Rh
```

The formation energy is 76 meV per atom. Its polymorph energy (0 for the lowest one) is 0.064 eV/atom. The calculation puts the density of states at the Fermi level at 18.0 states/eV/cell. As for the space-group type: No. 160.


# 12
# Dy3HoPd12

Dy3HoPd12 after structural relaxation (PBE-GGA, Alexandria via LeMat-Bulk).

```
Dy3HoPd12
1.0
4.112 0.000 0.000
0.000 4.112 0.000
0.000 0.000 16.549
Dy Ho Pd
3 1 12
Direct
0.000 0.000 0.000 Dy
0.000 0.000 0.250 Dy
0.000 0.000 0.750 Dy
0.000 0.000 0.500 Ho
0.000 0.500 0.125 Pd
0.000 0.500 0.375 Pd
0.000 0.500 0.625 Pd
0.000 0.500 0.875 Pd
0.500 0.000 0.125 Pd
0.500 0.000 0.375 Pd
0.500 0.000 0.625 Pd
0.500 0.000 0.875 Pd
0.500 0.500 0.000 Pd
0.500 0.500 0.250 Pd
0.500 0.500 0.500 Pd
0.500 0.500 0.750 Pd
```

The formation energy is -881 meV per atom. The calculation puts the density of states at the Fermi level at 12.1 states/eV/cell. As for the space-group type: No. 123.


# 13
# PrMgIn4

PrMgIn4 after structural relaxation (PBE-GGA, Alexandria via LeMat-Bulk).

```
PrMgIn4
1.0
4.702 0.000 0.000
0.000 4.702 0.000
0.000 0.000 8.206
Pr Mg In
1 1 4
Direct
0.000 0.000 0.000 Pr
0.500 0.500 0.500 Mg
0.000 0.500 0.283 In
0.000 0.500 0.717 In
0.500 0.000 0.283 In
0.500 0.000 0.717 In
```

The formation energy is -40 meV per atom. Its polymorph energy (0 for the lowest one) is 0.096 eV/atom. The calculation puts the density of states at the Fermi level at 3.4 states/eV/cell. As for the space-group type: No. 123.


# 14
# LaZnGaNi

LaZnGaNi after structural relaxation (PBE-GGA, Alexandria via LeMat-Bulk).

```
LaZnGaNi
1.0
4.171 0.000 0.000
-2.085 3.612 0.000
0.000 0.000 16.103
La Zn Ga Ni
3 3 3 3
Direct
0.000 0.000 0.000 La
0.333 0.667 0.667 La
0.667 0.333 0.333 La
0.000 0.000 0.203 Zn
0.333 0.667 0.870 Zn
0.667 0.333 0.536 Zn
0.000 0.000 0.796 Ga
0.333 0.667 0.462 Ga
0.667 0.333 0.129 Ga
0.000 0.000 0.501 Ni
0.333 0.667 0.167 Ni
0.667 0.333 0.834 Ni
```

The formation energy is -416 meV per atom. The calculation puts the density of states at the Fermi level at 14.3 states/eV/cell. As for the space-group type: No. 160.


# 15
# Al7Zn5

Al7Zn5 after structural relaxation (PBE-GGA, Alexandria via LeMat-Bulk).

```
Al7Zn5
1.0
2.816 0.000 0.000
0.000 12.350 0.000
0.000 0.000 5.542
Al Zn
7 5
Direct
0.000 0.000 0.000 Al
0.000 0.000 0.499 Al
0.000 0.335 0.995 Al
0.000 0.665 0.995 Al
0.500 0.170 0.246 Al
0.500 0.500 0.743 Al
0.500 0.830 0.246 Al
0.000 0.336 0.495 Zn
0.000 0.664 0.495 Zn
0.500 0.168 0.748 Zn
0.500 0.500 0.242 Zn
0.500 0.832 0.748 Zn
```

The formation energy is 22 meV per atom. Its polymorph energy (0 for the lowest one) is 0.000 eV/atom. The calculation puts the density of states at the Fermi level at 4.0 states/eV/cell. As for the space-group type: No. 25.


# 16
# YAs3C

YAs3C after structural relaxation (PBE-GGA, Alexandria via LeMat-Bulk).

```
YAs3C
1.0
5.427 0.000 0.000
0.000 5.427 0.000
0.000 0.000 5.427
Y As C
1 3 1
Direct
0.000 0.000 0.000 Y
0.000 0.000 0.500 As
0.000 0.500 0.000 As
0.500 0.000 0.000 As
0.500 0.500 0.500 C
```

The formation energy is 1833 meV per atom. Its polymorph energy (0 for the lowest one) is 1.438 eV/atom. The calculation puts the density of states at the Fermi level at 7.7 states/eV/cell. As for the space-group type: No. 221.


# 17
# Co2TcW

Co2TcW after structural relaxation (PBE-GGA, Alexandria via LeMat-Bulk).

```
Co2TcW
1.0
2.639 0.000 0.000
0.000 2.639 0.000
0.000 0.000 7.372
Co Tc W
2 1 1
Direct
0.000 0.000 0.246 Co
0.000 0.000 0.754 Co
0.500 0.500 0.000 Tc
0.500 0.500 0.500 W
```

The formation energy is 68 meV per atom. Its polymorph energy (0 for the lowest one) is 0.095 eV/atom. The calculation puts the density of states at the Fermi level at 4.3 states/eV/cell. As for the space-group type: No. 123.


# 18
# LaCNO2

LaCNO2 after structural relaxation (PBE-GGA, Alexandria via LeMat-Bulk).

```
LaCNO2
1.0
4.452 0.000 0.000
0.000 4.452 0.000
0.000 0.000 5.187
La C N O
1 1 1 2
Direct
0.000 0.000 0.000 La
0.500 0.500 0.500 C
0.000 0.000 0.500 N
0.000 0.500 0.000 O
0.500 0.000 0.000 O
```

The value obtained for the formation energy from raw total energies is 1169 meV/atom. The calculation puts the density of states at the Fermi level at 4.5 states/eV/cell. As for the space-group type: No. 123.


# 19
# Te2PtRh

Te2PtRh after structural relaxation (PBE-GGA, Alexandria via LeMat-Bulk).

```
Te2PtRh
1.0
3.389 0.000 0.000
0.000 3.389 0.000
0.000 0.000 6.818
Te Pt Rh
2 1 1
Direct
0.000 0.000 0.242 Te
0.000 0.000 0.758 Te
0.500 0.500 0.500 Pt
0.500 0.500 0.000 Rh
```

The value obtained for the formation energy from raw total energies is 39 meV/atom. Its polymorph energy (0 for the lowest one) is 0.294 eV/atom. The calculation puts the density of states at the Fermi level at 2.1 states/eV/cell. As for the space-group type: No. 123.


# 20
# SrTe2Br

SrTe2Br after structural relaxation (PBE-GGA, Alexandria via LeMat-Bulk).

```
SrTe2Br
1.0
16.528 0.000 0.000
0.000 4.396 0.000
-0.493 0.000 9.183
Sr Te Br
4 8 4
Direct
0.000 0.000 0.000 Sr
0.245 0.500 0.118 Sr
0.500 0.500 0.000 Sr
0.745 0.000 0.118 Sr
0.334 0.000 0.879 Te
0.401 0.500 0.664 Te
0.403 0.000 0.213 Te
0.478 0.000 0.506 Te
0.834 0.500 0.879 Te
0.901 0.000 0.664 Te
0.903 0.500 0.213 Te
0.978 0.500 0.506 Te
0.106 0.500 0.881 Br
0.142 0.000 0.246 Br
0.606 0.000 0.881 Br
0.642 0.500 0.246 Br
```

The value obtained for the formation energy from raw total energies is -1182 meV/atom. Its polymorph energy (0 for the lowest one) is 0.003 eV/atom. As for the space-group type: No. 8.